# 1
A plane-wave DFT calculation with GGA-PBE was carried out for a geometry-optimized NdPuIn2 structure.

Cell: 4.8866 4.8866 4.6342 Å, 90.00 90.00 90.00°
Fractional coordinates of all 4 atoms:
Nd 0.0000 0.0000 0.0000
Pu 0.5000 0.5000 0.0000
In 0.0000 0.5000 0.5000
In 0.5000 0.0000 0.5000

Summary:
The formation energy is -0.28 eV per atom. The value obtained for the total magnetization is 1.573 μB per atom.


# 2
A plane-wave DFT calculation with GGA-PBE was carried out for a geometry-optimized NdPu2In structure.

Cell: 5.4137 5.4137 5.4137 Å, 60.00 60.00 60.00°
Fractional coordinates of all 4 atoms:
Nd 0.0000 0.0000 0.0000
Pu 0.2500 0.2500 0.2500
Pu 0.7500 0.7500 0.7500
In 0.5000 0.5000 0.5000

Summary:
The formation energy is 0.10 eV per atom. Its offset from the most stable computed form is 0.1918 eV/atom. The value obtained for the total magnetization is 3.402 μB per atom.


DOS(E_F) values (in states/eV/cell) by entry order: 12.03; 12.49.